No. 1
Computed, not measured: NaMo2P4O14 after structural relaxation at the GGA-PBEsol level of DFT.

Energy relative to the elements, uncorrected: -2.064 eV per atom

Cell lengths 4.944, 6.990, 8.278 Å; angles 91.29, 92.71, 106.03 degrees
Sites, in units of the cell vectors:
O  0.130  0.803  0.426
O  0.755  0.550  0.812
O  0.384  0.191  0.345
O  0.033  0.251  0.873
O  0.355  0.682  0.903
P  0.112  0.240  0.695
P  0.511  0.630  0.758
Mo  0.000  0.503  0.999
O  0.653  0.320  0.101
O  0.609  0.807  0.653
O  0.245  0.451  0.185
P  0.485  0.369  0.241
Na  0.662  0.993  0.027
Mo  0.495  0.001  0.501
O  0.699  0.540  0.355
O  0.692  0.901  0.316
O  0.862  0.196  0.573
O  0.946  0.746  0.127
P  0.878  0.758  0.306
O  0.299  0.099  0.682
O  0.291  0.459  0.649

No. 2
Computed, not measured: NaMo3P2O14 after structural relaxation at the GGA-PBEsol level of DFT.

Energy relative to the elements, uncorrected: -2.077 eV per atom

Cell lengths 6.397, 8.183, 10.540 Å; angles 110.87, 90.00, 90.00 degrees
Sites, in units of the cell vectors:
P  0.250  0.346  0.566
O  0.750  0.454  0.383
O  0.942  0.727  0.525
O  0.250  0.900  0.437
O  0.560  0.740  0.804
Mo  0.750  0.252  0.491
O  0.250  0.546  0.617
O  0.058  0.273  0.475
O  0.967  0.790  0.127
Mo  0.750  0.667  0.118
O  0.467  0.210  0.873
O  0.440  0.260  0.196
Mo  0.250  0.748  0.509
O  0.558  0.727  0.525
O  0.250  0.448  0.085
O  0.750  0.100  0.563
O  0.060  0.260  0.196
O  0.250  0.871  0.695
P  0.250  0.379  0.204
Na  0.250  0.987  0.219
O  0.940  0.740  0.804
Mo  0.750  0.239  0.173
O  0.250  0.934  0.972
O  0.750  0.724  0.318
P  0.750  0.654  0.434
O  0.250  0.569  0.885
O  0.442  0.273  0.475
O  0.750  0.129  0.305
O  0.750  0.463  0.662
Mo  0.250  0.333  0.882
P  0.750  0.621  0.796
O  0.250  0.276  0.682
Mo  0.250  0.761  0.827
Na  0.750  0.013  0.781
O  0.250  0.537  0.338
O  0.533  0.790  0.127
O  0.750  0.431  0.115
O  0.033  0.210  0.873
O  0.750  0.552  0.915
O  0.750  0.066  0.028

No. 3
Computed, not measured: Na2YMoPO8 after structural relaxation at the GGA-PBEsol level of DFT.

Energy relative to the elements, uncorrected: -2.521 eV per atom

Cell lengths 6.878, 11.332, 11.332 Å; angles 64.23, 72.33, 72.33 degrees
Sites, in units of the cell vectors:
Y  0.750  0.679  0.321
Na  0.145  0.293  0.398
O  0.830  0.107  0.651
O  0.768  0.139  0.399
O  0.692  0.578  0.560
P  0.250  0.068  0.932
O  0.082  0.140  0.845
Y  0.250  0.821  0.179
O  0.330  0.922  0.940
O  0.805  0.361  0.101
O  0.170  0.060  0.078
O  0.933  0.345  0.640
O  0.418  0.155  0.860
Na  0.163  0.898  0.793
O  0.195  0.639  0.899
O  0.732  0.601  0.861
O  0.330  0.651  0.107
O  0.308  0.422  0.440
Na  0.855  0.707  0.602
Mo  0.178  0.572  0.072
Na  0.337  0.207  0.102
O  0.170  0.893  0.349
O  0.088  0.393  0.849
Na  0.663  0.793  0.898
O  0.067  0.655  0.360
P  0.250  0.568  0.432
O  0.305  0.101  0.361
O  0.412  0.151  0.607
O  0.192  0.560  0.578
Mo  0.678  0.072  0.572
Na  0.837  0.102  0.207
Mo  0.822  0.428  0.928
O  0.582  0.845  0.140
Y  0.750  0.179  0.821
O  0.670  0.349  0.893
O  0.588  0.849  0.393
O  0.670  0.078  0.060
P  0.750  0.932  0.068
O  0.808  0.440  0.422
Na  0.355  0.602  0.707
O  0.695  0.899  0.639
O  0.268  0.399  0.139
O  0.918  0.860  0.155
O  0.567  0.360  0.655
O  0.830  0.940  0.922
P  0.750  0.432  0.568
Na  0.645  0.398  0.293
Y  0.250  0.321  0.679
O  0.232  0.861  0.601
O  0.912  0.607  0.151
O  0.433  0.640  0.345
Mo  0.322  0.928  0.428

No. 4
Computed, not measured: RbNaMo3O10 after structural relaxation at the GGA-PBEsol level of DFT.

Energy relative to the elements, uncorrected: -2.045 eV per atom

Cell lengths 7.571, 7.639, 15.503 Å; angles 90.00, 90.00, 90.00 degrees
Sites, in units of the cell vectors:
Mo  0.500  0.393  0.102
O  0.250  0.218  0.834
O  0.514  0.157  0.464
Mo  0.000  0.893  0.398
O  0.014  0.343  0.964
O  0.750  0.282  0.334
O  0.750  0.610  0.926
Na  0.750  0.564  0.276
O  0.250  0.390  0.074
O  0.750  0.782  0.166
Rb  0.750  0.140  0.853
O  0.514  0.657  0.036
O  0.530  0.179  0.131
O  0.486  0.843  0.536
O  0.750  0.944  0.411
O  0.030  0.821  0.869
O  0.965  0.000  0.699
Rb  0.750  0.640  0.647
O  0.535  0.000  0.699
O  0.250  0.062  0.993
Mo  0.500  0.893  0.398
O  0.986  0.157  0.464
Mo  0.000  0.393  0.102
Na  0.250  0.436  0.724
O  0.250  0.556  0.911
Rb  0.250  0.860  0.147
O  0.486  0.343  0.964
O  0.986  0.657  0.036
O  0.750  0.938  0.007
O  0.970  0.679  0.369
O  0.465  0.500  0.199
Mo  0.750  0.739  0.056
Na  0.750  0.064  0.224
O  0.035  0.500  0.199
Mo  0.500  0.107  0.602
O  0.535  0.500  0.801
Na  0.250  0.936  0.776
Mo  0.000  0.607  0.898
Rb  0.250  0.360  0.353
O  0.970  0.179  0.131
O  0.250  0.718  0.666
O  0.530  0.679  0.369
Mo  0.750  0.239  0.444
Mo  0.500  0.607  0.898
O  0.250  0.890  0.426
O  0.035  0.000  0.301
O  0.965  0.500  0.801
O  0.030  0.321  0.631
O  0.750  0.110  0.574
O  0.470  0.321  0.631
Mo  0.250  0.761  0.556
O  0.465  0.000  0.301
O  0.470  0.821  0.869
O  0.250  0.056  0.589
O  0.750  0.444  0.089
O  0.750  0.438  0.493
Mo  0.000  0.107  0.602
O  0.250  0.562  0.507
Mo  0.250  0.261  0.944
O  0.014  0.843  0.536

No. 5
Computed, not measured: Na2Mo2Se2O11 after structural relaxation at the GGA-PBEsol level of DFT.

Energy relative to the elements, uncorrected: -1.596 eV per atom

Cell lengths 6.455, 8.863, 9.398 Å; angles 112.92, 90.00, 111.35 degrees
Sites, in units of the cell vectors:
Mo  0.382  0.207  0.726
Na  0.758  0.000  0.750
O  0.490  0.455  0.736
O  0.773  0.354  0.473
O  0.147  0.222  0.809
Se  0.079  0.669  0.392
O  0.510  0.545  0.264
O  0.227  0.646  0.527
O  0.517  0.240  0.205
Se  0.590  0.669  0.892
O  0.711  0.884  0.471
O  0.483  0.760  0.795
O  0.723  0.240  0.705
Se  0.921  0.331  0.608
Mo  0.825  0.207  0.226
O  0.581  0.354  0.973
Na  0.500  0.500  0.500
O  0.370  0.000  0.750
O  0.173  0.884  0.971
O  0.035  0.545  0.764
O  0.925  0.778  0.691
Na  0.000  0.500  0.000
O  0.075  0.222  0.309
O  0.419  0.646  0.027
Se  0.410  0.331  0.108
Mo  0.175  0.793  0.774
O  0.289  0.116  0.529
O  0.853  0.778  0.191
O  0.277  0.760  0.295
Mo  0.618  0.793  0.274
Na  0.242  0.000  0.250
O  0.827  0.116  0.029
O  0.630  0.000  0.250
O  0.965  0.455  0.236

No. 6
Computed, not measured: Na2MoSeO6 after structural relaxation at the GGA-PBEsol level of DFT.

Energy relative to the elements, uncorrected: -1.699 eV per atom

Cell lengths 8.317, 8.317, 8.317 Å; angles 90.00, 90.00, 90.00 degrees
Sites, in units of the cell vectors:
O  0.689  0.008  0.578
O  0.493  0.744  0.603
O  0.922  0.311  0.508
O  0.603  0.493  0.744
O  0.744  0.603  0.493
O  0.507  0.244  0.897
O  0.508  0.922  0.311
Mo  0.489  0.989  0.511
O  0.422  0.189  0.492
Na  0.255  0.255  0.255
O  0.492  0.422  0.189
Mo  0.511  0.489  0.989
O  0.811  0.992  0.078
O  0.397  0.993  0.756
Se  0.675  0.675  0.675
O  0.578  0.689  0.008
Na  0.468  0.468  0.468
Na  0.755  0.245  0.745
O  0.311  0.508  0.922
O  0.008  0.578  0.689
Mo  0.011  0.011  0.011
O  0.007  0.256  0.103
Na  0.532  0.968  0.032
O  0.756  0.397  0.993
Na  0.745  0.755  0.245
O  0.189  0.492  0.422
O  0.244  0.897  0.507
Se  0.175  0.825  0.325
Mo  0.989  0.511  0.489
Na  0.032  0.532  0.968
O  0.992  0.078  0.811
O  0.993  0.756  0.397
O  0.897  0.507  0.244
Na  0.245  0.745  0.755
Na  0.968  0.032  0.532
Se  0.825  0.325  0.175
Se  0.325  0.175  0.825
O  0.256  0.103  0.007
O  0.103  0.007  0.256
O  0.078  0.811  0.992

No. 7
Computed, not measured: Na2Te3Mo3O16 after structural relaxation at the GGA-PBEsol level of DFT.

Energy relative to the elements, uncorrected: -1.649 eV per atom

Cell lengths 7.264, 7.583, 7.583 Å; angles 95.50, 114.74, 114.74 degrees
Sites, in units of the cell vectors:
O  0.658  0.876  0.935
Te  0.000  0.997  0.003
O  0.821  0.294  0.809
Mo  0.017  0.511  0.027
O  0.335  0.755  0.295
O  0.231  0.402  0.155
O  0.879  0.441  0.167
O  0.768  0.111  0.378
Mo  0.500  0.578  0.422
O  0.179  0.191  0.706
O  0.924  0.709  0.956
Na  0.500  0.084  0.916
Te  0.499  0.604  0.947
O  0.371  0.539  0.574
O  0.665  0.705  0.245
O  0.232  0.622  0.889
Mo  0.983  0.973  0.489
O  0.121  0.833  0.559
O  0.769  0.845  0.598
Te  0.501  0.053  0.396
Na  0.000  0.486  0.514
O  0.342  0.065  0.124
O  0.076  0.044  0.291
O  0.629  0.426  0.461

No. 8
Computed, not measured: Na2Te4MoO12 after structural relaxation at the GGA-PBEsol level of DFT.

Energy relative to the elements, uncorrected: -1.428 eV per atom

Cell lengths 5.730, 9.119, 11.185 Å; angles 105.40, 90.00, 108.31 degrees
Sites, in units of the cell vectors:
O  0.607  0.981  0.368
O  0.393  0.019  0.632
Na  0.444  0.426  0.271
O  0.283  0.781  0.161
O  0.687  0.517  0.932
Na  0.981  0.426  0.771
O  0.313  0.483  0.068
O  0.374  0.981  0.868
O  0.114  0.957  0.359
Te  0.686  0.815  0.407
O  0.170  0.483  0.568
Te  0.314  0.185  0.593
O  0.498  0.781  0.661
O  0.990  0.682  0.745
Te  0.531  0.690  0.064
O  0.692  0.682  0.245
O  0.830  0.517  0.432
Te  0.159  0.690  0.564
Mo  0.673  0.000  0.750
O  0.502  0.219  0.339
Na  0.556  0.574  0.729
O  0.668  0.325  0.094
Na  0.019  0.574  0.229
Te  0.129  0.815  0.907
O  0.717  0.219  0.839
Te  0.871  0.185  0.093
O  0.886  0.043  0.641
Te  0.841  0.310  0.436
Mo  0.327  0.000  0.250
O  0.657  0.325  0.594
O  0.332  0.675  0.906
O  0.308  0.318  0.755
O  0.010  0.318  0.255
O  0.626  0.019  0.132
O  0.158  0.043  0.141
Te  0.469  0.310  0.936
O  0.842  0.957  0.859
O  0.343  0.675  0.406

No. 9
Computed, not measured: Na3Zn2Mo3O12 after structural relaxation at the GGA-PBEsol level of DFT.

Energy relative to the elements, uncorrected: -1.856 eV per atom

Cell lengths 7.069, 8.997, 8.997 Å; angles 95.07, 104.03, 104.03 degrees
Sites, in units of the cell vectors:
Mo  0.250  0.781  0.219
O  0.026  0.667  0.257
O  0.815  0.035  0.206
O  0.474  0.743  0.333
O  0.258  0.982  0.245
O  0.089  0.643  0.654
O  0.315  0.206  0.035
Mo  0.617  0.617  0.841
Na  0.250  0.515  0.485
O  0.911  0.357  0.346
Zn  0.118  0.557  0.865
O  0.411  0.346  0.357
O  0.526  0.257  0.667
O  0.623  0.499  0.152
O  0.877  0.848  0.501
O  0.675  0.107  0.470
O  0.742  0.018  0.755
O  0.377  0.501  0.848
O  0.185  0.965  0.794
Na  0.000  0.000  0.000
Zn  0.618  0.865  0.557
Mo  0.883  0.159  0.383
O  0.758  0.245  0.982
Na  0.250  0.231  0.769
Na  0.750  0.769  0.231
O  0.123  0.152  0.499
O  0.325  0.893  0.530
Zn  0.382  0.135  0.443
O  0.974  0.333  0.743
O  0.825  0.530  0.893
Na  0.750  0.485  0.515
Mo  0.383  0.383  0.159
O  0.589  0.654  0.643
O  0.175  0.470  0.107
Zn  0.882  0.443  0.135
Mo  0.750  0.219  0.781
O  0.685  0.794  0.965
O  0.242  0.755  0.018
Na  0.500  0.000  0.000
Mo  0.117  0.841  0.617

No. 10
Computed, not measured: Na2MoOs after structural relaxation at the GGA-PBEsol level of DFT.

Formation enthalpy at 0 K: 45.82 kcal/mol of atoms

Cell lengths 4.586, 4.586, 4.586 Å; angles 60.00, 60.00, 60.00 degrees
Sites, in units of the cell vectors:
Mo  0.000  0.000  0.000
Na  0.750  0.750  0.750
Na  0.250  0.250  0.250
Os  0.500  0.500  0.500

No. 11
Computed, not measured: NaMoP3 after structural relaxation at the GGA-PBEsol level of DFT.

Formation enthalpy at 0 K: 43.11 kcal/mol of atoms

Cell lengths 4.604, 4.604, 4.604 Å; angles 90.00, 90.00, 90.00 degrees
Sites, in units of the cell vectors:
Na  0.000  0.000  0.000
Mo  0.500  0.500  0.500
P  0.000  0.000  0.500
P  0.000  0.500  0.000
P  0.500  0.000  0.000

Copy entry 9 word for word.
Computed, not measured: Na3Zn2Mo3O12 after structural relaxation at the GGA-PBEsol level of DFT.

Energy relative to the elements, uncorrected: -1.856 eV per atom

Cell lengths 7.069, 8.997, 8.997 Å; angles 95.07, 104.03, 104.03 degrees
Sites, in units of the cell vectors:
Mo  0.250  0.781  0.219
O  0.026  0.667  0.257
O  0.815  0.035  0.206
O  0.474  0.743  0.333
O  0.258  0.982  0.245
O  0.089  0.643  0.654
O  0.315  0.206  0.035
Mo  0.617  0.617  0.841
Na  0.250  0.515  0.485
O  0.911  0.357  0.346
Zn  0.118  0.557  0.865
O  0.411  0.346  0.357
O  0.526  0.257  0.667
O  0.623  0.499  0.152
O  0.877  0.848  0.501
O  0.675  0.107  0.470
O  0.742  0.018  0.755
O  0.377  0.501  0.848
O  0.185  0.965  0.794
Na  0.000  0.000  0.000
Zn  0.618  0.865  0.557
Mo  0.883  0.159  0.383
O  0.758  0.245  0.982
Na  0.250  0.231  0.769
Na  0.750  0.769  0.231
O  0.123  0.152  0.499
O  0.325  0.893  0.530
Zn  0.382  0.135  0.443
O  0.974  0.333  0.743
O  0.825  0.530  0.893
Na  0.750  0.485  0.515
Mo  0.383  0.383  0.159
O  0.589  0.654  0.643
O  0.175  0.470  0.107
Zn  0.882  0.443  0.135
Mo  0.750  0.219  0.781
O  0.685  0.794  0.965
O  0.242  0.755  0.018
Na  0.500  0.000  0.000
Mo  0.117  0.841  0.617

> What is the formula in the tenth record?

Na2MoOs